Below is crystalline CrHPd3 at its relaxed geometry, with properties calculated at the PBE level.

Unit cell a=4.3902 b=4.3902 c=7.7896 alpha=90.00 beta=90.00 gamma=120.00
Space group P6_3/mmc (No. 194)
Inequivalent atoms, fractional coordinates:
Cr (0.3333, 0.6667, 0.2500) [2 per cell]
H (0.0000, 0.0000, 0.0000) [2 per cell]
Pd (0.0000, 0.0000, 0.2500) [2 per cell]
Pd (0.3333, 0.6667, 0.5763) [4 per cell]

Output
- density of states at the Fermi level (states/eV/atom) = 0.918
- energy relative to the lowest polymorph listed for this composition (kJ per mole of atoms) = 24.4
- total DFT energy (no corrections) (eV per atom) = -5.547